# PBE Tl3Ru, relaxed
data_Tl3Ru
_chemical_formula_sum 'Tl6 Ru2'
_cell_length_a 3.412
_cell_length_b 7.518
_cell_length_c 7.627
_cell_angle_alpha 90.00
_cell_angle_beta 90.00
_cell_angle_gamma 90.00
_symmetry_space_group_name_H-M 'P m m n'
_symmetry_Int_Tables_number 59
loop_
_symmetry_equiv_pos_as_xyz
'x,y,z'
'-x,-y,-z'
'-x+1/2,-y+1/2,z'
'x+1/2,y+1/2,-z'
'x+1/2,-y,-z'
'-x+1/2,y,z'
'-x,y+1/2,-z'
'x,-y+1/2,z'
loop_
_atom_site_label
_atom_site_fract_x
_atom_site_fract_y
_atom_site_fract_z
Tl1 0.250 0.049 0.169
Tl2 0.250 0.750 0.492
Ru1 0.250 0.250 0.811
# * ΔE_f: 0.444 eV per atom

***

# PBE Tl2Ru, relaxed
data_Tl2Ru
_chemical_formula_sum 'Tl4 Ru2'
_cell_length_a 3.377
_cell_length_b 3.377
_cell_length_c 11.572
_cell_angle_alpha 90.00
_cell_angle_beta 90.00
_cell_angle_gamma 90.00
_symmetry_space_group_name_H-M 'I 4/m m m'
_symmetry_Int_Tables_number 139
_symmetry_space_group_name_Hall '-I 4 2'
loop_
_atom_site_label
_atom_site_fract_x
_atom_site_fract_y
_atom_site_fract_z
Tl1 0.000 0.000 0.140
Ru1 0.000 0.000 0.500
# * ΔE_f: 0.558 eV per atom

***

Computed electronic total energy (eV/atom) in order:
-3.649; -4.112